Record 1
Here is a relaxed Zn3Se crystal from Alexandria via LeMat-Bulk. Energies are from GGA-PBE.

Values from the calculation:
- Energy above the lowest structure with this stoichiometry: 0.028 eV per atom
- Space-group type: P1, No. 1
- Spin magnetization: 0.0000 μB/atom
- Energy relative to the elements, uncorrected: -0.14 eV/atom

Cell lengths 4.204, 6.147, 6.197 Å; angles 91.63, 107.74, 91.16 degrees
Atoms (fractional coordinates):
Zn 0.691 0.778 0.328
Zn 0.432 0.141 0.687
Se 0.508 0.477 0.950
Se 0.996 0.975 0.843
Zn 0.903 0.578 0.728
Zn 0.233 0.539 0.413
Zn 0.713 0.259 0.349
Zn 0.165 0.004 0.266


Record 2
Here is a relaxed BaMgN3 crystal from Alexandria via LeMat-Bulk. Energies are from GGA-PBE.

Values from the calculation:
- Space-group type: Pm-3m, No. 221
- Spin magnetization: 1.0000 μB/atom
- Energy relative to the elements, uncorrected: 0.76 eV/atom

Cell lengths 4.259, 4.259, 4.259 Å; angles 90.00, 90.00, 90.00 degrees
Atoms (fractional coordinates):
N 0.000 0.500 0.000
N 0.000 0.000 0.500
Ba 0.500 0.500 0.500
N 0.500 0.000 0.000
Mg 0.000 0.000 0.000


Record 3
Here is a relaxed Ag2Pb2O crystal from Alexandria via LeMat-Bulk. Energies are from GGA-PBE.

Values from the calculation:
- Energy above the lowest structure with this stoichiometry: 0.054 eV per atom
- Space-group type: I4/mmm, No. 139
- Spin magnetization: 0.0000 μB/atom
- Energy relative to the elements, uncorrected: 0.17 eV/atom

Cell lengths 5.911, 5.911, 5.374 Å; angles 56.64, 56.64, 90.00 degrees
Atoms (fractional coordinates):
Ag 0.691 0.691 0.618
O 0.000 0.000 0.000
Pb 0.750 0.250 0.500
Ag 0.309 0.309 0.382
Pb 0.250 0.750 0.500


Record 4
Here is a relaxed Pr5Ir3 crystal from Alexandria via LeMat-Bulk. Energies are from GGA-PBE.

Values from the calculation:
- Space-group type: P4/ncc, No. 130
- Spin magnetization: 0.0000 μB/atom
- Formation energy: -55.9 kJ per mole of atoms

Cell lengths 11.363, 11.363, 6.621 Å; angles 90.00, 90.00, 90.00 degrees
Atoms (fractional coordinates):
Pr 0.591 0.208 0.384
Pr 0.000 0.000 0.000
Pr 0.792 0.409 0.116
Pr 0.500 0.500 0.500
Pr 0.091 0.292 0.116
Pr 0.792 0.591 0.616
Pr 0.500 0.500 0.000
Pr 0.292 0.091 0.384
Ir 0.500 0.000 0.621
Pr 0.208 0.591 0.116
Pr 0.708 0.091 0.884
Pr 0.909 0.292 0.616
Ir 0.154 0.846 0.250
Ir 0.846 0.154 0.250
Pr 0.000 0.000 0.500
Ir 0.346 0.654 0.750
Pr 0.208 0.409 0.616
Ir 0.846 0.846 0.750
Ir 0.654 0.346 0.750
Ir 0.000 0.500 0.879
Pr 0.091 0.708 0.616
Pr 0.409 0.792 0.384
Pr 0.909 0.708 0.116
Pr 0.708 0.909 0.384
Ir 0.346 0.346 0.250
Ir 0.654 0.654 0.250
Ir 0.500 0.000 0.121
Ir 0.154 0.154 0.750
Pr 0.292 0.909 0.884
Ir 0.000 0.500 0.379
Pr 0.409 0.208 0.884
Pr 0.591 0.792 0.884


Record 5
Here is a relaxed ZrPb3 crystal from Alexandria via LeMat-Bulk. Energies are from GGA-PBE.

Values from the calculation:
- Space-group type: Pnma, No. 62
- Spin magnetization: 0.0000 μB/atom
- Formation energy: -3.8 kJ per mole of atoms

Cell lengths 6.189, 7.395, 9.750 Å; angles 90.00, 90.00, 90.00 degrees
Atoms (fractional coordinates):
Pb 0.081 0.302 0.033
Pb 0.919 0.698 0.533
Pb 0.355 0.504 0.750
Zr 0.370 0.140 0.250
Pb 0.581 0.198 0.967
Pb 0.645 0.496 0.250
Zr 0.130 0.640 0.250
Zr 0.870 0.360 0.750
Pb 0.419 0.802 0.033
Pb 0.855 0.996 0.250
Pb 0.081 0.302 0.467
Zr 0.630 0.860 0.750
Pb 0.145 0.004 0.750
Pb 0.919 0.698 0.967
Pb 0.581 0.198 0.533
Pb 0.419 0.802 0.467


Record 6
Here is a relaxed Rb2TlAg2 crystal from Alexandria via LeMat-Bulk. Energies are from GGA-PBE.

Values from the calculation:
- Energy above the lowest structure with this stoichiometry: 0.013 eV per atom
- Space-group type: Immm, No. 71
- Spin magnetization: 0.0000 μB/atom
- Formation energy: 2.3 kJ per mole of atoms

Cell lengths 5.158, 5.824, 7.124 Å; angles 114.13, 111.22, 90.00 degrees
Atoms (fractional coordinates):
Rb 0.801 0.301 0.602
Ag 0.500 0.745 0.000
Ag 0.500 0.255 0.000
Tl 0.000 0.000 0.000
Rb 0.199 0.699 0.398


Record 7
Here is a relaxed Hf4ReGe2 crystal from Alexandria via LeMat-Bulk. Energies are from GGA-PBE.

Values from the calculation:
- Energy above the lowest structure with this stoichiometry: 0.000 eV per atom
- Space-group type: R-3m, No. 166
- Spin magnetization: 0.0000 μB/atom
- Formation energy: -18.4 kJ per mole of atoms

Cell lengths 4.659, 4.659, 8.098 Å; angles 73.28, 73.28, 60.00 degrees
Atoms (fractional coordinates):
Hf 0.727 0.727 0.818
Hf 0.273 0.273 0.182
Ge 0.610 0.610 0.170
Ge 0.390 0.390 0.830
Hf 0.874 0.874 0.379
Re 0.500 0.500 0.500
Hf 0.126 0.126 0.621


Record 8
Here is a relaxed Ca2HgTe crystal from Alexandria via LeMat-Bulk. Energies are from GGA-PBE.

Values from the calculation:
- Energy above the lowest structure with this stoichiometry: 0.131 eV per atom
- Space-group type: I-4m2, No. 119
- Spin magnetization: 0.0000 μB/atom
- Energy relative to the elements, uncorrected: -0.81 eV/atom

Cell lengths 6.868, 6.868, 6.868 Å; angles 142.02, 142.02, 54.80 degrees
Atoms (fractional coordinates):
Ca 0.000 0.000 0.000
Hg 0.500 0.500 0.000
Te 0.750 0.250 0.500
Ca 0.250 0.750 0.500